Computed, not measured: a crystal of Ba2MgSb relaxed with PBEsol at the meta-GGA SCAN level of DFT.

a = 5.846 Å, b = 5.846 Å, c = 5.846 Å
α = 60.00°, β = 60.00°, γ = 60.00°
Atoms (fractional coordinates):
Ba  0.000  0.000  0.000
Ba  0.750  0.750  0.750
Mg  0.500  0.500  0.500
Sb  0.250  0.250  0.250

Output
Magnetic moment in μB/atom: 0.000
Energy relative to the elements, uncorrected in eV per atom: -0.206
V in A^3/atom: 35.31
Distance to the lowest polymorph of the same formula in meV/atom: 114



Computed, not measured: a crystal of Tl3TeAs relaxed with PBEsol at the meta-GGA SCAN level of DFT.

a = 5.703 Å, b = 5.703 Å, c = 5.703 Å
α = 90.00°, β = 90.00°, γ = 90.00°
Atoms (fractional coordinates):
Tl  0.000  0.500  0.000
Tl  0.000  0.000  0.500
Tl  0.500  0.000  0.000
Te  0.000  0.000  0.000
As  0.500  0.500  0.500

Output
Magnetic moment in μB/atom: 0.000
Energy relative to the elements, uncorrected in eV per atom: 0.677
V in A^3/atom: 37.10



Computed, not measured: a crystal of PuGa4Pt relaxed with PBEsol at the meta-GGA SCAN level of DFT.

a = 4.211 Å, b = 6.468 Å, c = 8.085 Å
α = 90.00°, β = 105.09°, γ = 90.00°
Last column: magnetic moment on the atom in μB.
Atoms (fractional coordinates):
Ga  0.178  0.955  0.356  0.00
Ga  0.822  0.045  0.644  0.00
Ga  0.822  0.455  0.644  0.00
Ga  0.178  0.545  0.356  0.00
Ga  0.000  0.500  0.000  -0.02
Ga  0.000  0.000  0.000  -0.02
Ga  0.563  0.750  0.127  -0.01
Ga  0.437  0.250  0.873  -0.01
Pt  0.719  0.750  0.439  -0.03
Pt  0.281  0.250  0.561  -0.03
Pu  0.616  0.250  0.233  5.25
Pu  0.384  0.750  0.767  5.25

Output
Formation enthalpy at 0 K in meV per atom: -547
Magnetic moment in μB/atom: 0.904
V in A^3/atom: 17.72



Computed, not measured: a crystal of YCdMo3 relaxed with PBEsol at the meta-GGA SCAN level of DFT.

a = 4.868 Å, b = 4.868 Å, c = 4.868 Å
α = 90.00°, β = 90.00°, γ = 90.00°
Atoms (fractional coordinates):
Y  0.500  0.500  0.500
Mo  0.000  0.500  0.000
Mo  0.000  0.000  0.500
Mo  0.500  0.000  0.000
Cd  0.000  0.000  0.000

Output
Formation enthalpy at 0 K in meV per atom: 2120
Magnetic moment in μB/atom: 0.000
V in A^3/atom: 23.08



Computed, not measured: a crystal of TlSb2Mo relaxed with PBEsol at the meta-GGA SCAN level of DFT.

a = 4.354 Å, b = 4.354 Å, c = 5.640 Å
α = 112.71°, β = 112.71°, γ = 90.00°
Last column: magnetic moment on the atom in μB.
Atoms (fractional coordinates):
Mo  0.250  0.750  0.500  2.59
Sb  0.000  0.000  0.000  -0.05
Sb  0.750  0.250  0.500  0.00
Tl  0.500  0.500  0.000  0.00

Output
Magnetic moment in μB/atom: 0.675
Energy relative to the elements, uncorrected in eV per atom: 0.731
V in A^3/atom: 22.40
Distance to the lowest polymorph of the same formula in meV/atom: 605



Computed, not measured: a crystal of Ta5Mo3 relaxed with PBEsol at the meta-GGA SCAN level of DFT.

a = 4.621 Å, b = 5.504 Å, c = 5.504 Å
α = 108.45°, β = 90.00°, γ = 90.00°
Atoms (fractional coordinates):
Mo  0.000  0.747  0.747
Mo  0.500  0.500  0.500
Mo  0.000  0.253  0.253
Ta  0.500  0.000  0.000
Ta  0.000  0.752  0.248
Ta  0.500  0.500  0.000
Ta  0.000  0.248  0.752
Ta  0.500  0.000  0.500

Output
Formation enthalpy at 0 K in meV per atom: -101
Magnetic moment in μB/atom: 0.000
V in A^3/atom: 16.60
Distance to the lowest polymorph of the same formula in meV/atom: 49



Computed, not measured: a crystal of LiIrRh2 relaxed with PBEsol at the meta-GGA SCAN level of DFT.

a = 3.710 Å, b = 3.710 Å, c = 4.599 Å
α = 113.78°, β = 113.78°, γ = 90.00°
Atoms (fractional coordinates):
Ir  0.500  0.500  0.000
Rh  0.000  0.000  0.000
Rh  0.750  0.250  0.500
Li  0.250  0.750  0.500

Output
Formation enthalpy at 0 K in meV per atom: -97
Magnetic moment in μB/atom: 0.000
V in A^3/atom: 13.00
Distance to the lowest polymorph of the same formula in meV/atom: 59



Computed, not measured: a crystal of YZnSe2 relaxed with PBEsol at the meta-GGA SCAN level of DFT.

a = 3.706 Å, b = 3.788 Å, c = 6.881 Å
α = 105.98°, β = 105.62°, γ = 90.00°
Atoms (fractional coordinates):
Se  0.972  0.972  0.944
Se  0.229  0.729  0.458
Y  0.552  0.552  0.104
Zn  0.747  0.247  0.495

Output
Magnetic moment in μB/atom: 0.000
Energy relative to the elements, uncorrected in eV per atom: -1.202
V in A^3/atom: 22.29



Computed, not measured: a crystal of Ba2YAsH relaxed with PBEsol at the meta-GGA SCAN level of DFT.

a = 3.909 Å, b = 6.289 Å, c = 6.289 Å
α = 90.00°, β = 90.00°, γ = 90.00°
Last column: magnetic moment on the atom in μB.
Atoms (fractional coordinates):
Y  0.000  0.000  0.000  1.02
H  0.500  0.000  0.000  0.00
As  0.500  0.500  0.500  0.04
Ba  0.000  0.000  0.500  0.26
Ba  0.000  0.500  0.000  0.26

Output
Energy in Ha/atom: -0.95380
Magnetic moment in μB/atom: 0.537
V in A^3/atom: 30.92



Computed, not measured: a crystal of K2CoHgSb relaxed with PBEsol at the meta-GGA SCAN level of DFT.

a = 4.709 Å, b = 6.607 Å, c = 6.607 Å
α = 90.00°, β = 90.00°, γ = 90.00°
Last column: magnetic moment on the atom in μB.
Atoms (fractional coordinates):
Sb  0.000  0.000  0.000  0.03
K  0.000  0.000  0.500  0.00
K  0.000  0.500  0.000  0.00
Co  0.500  0.000  0.000  1.82
Hg  0.500  0.500  0.500  -0.01

Output
Magnetic moment in μB/atom: 0.390
Energy relative to the elements, uncorrected in eV per atom: 0.087
V in A^3/atom: 41.11



Computed, not measured: a crystal of Li2SiAg relaxed with PBEsol at the meta-GGA SCAN level of DFT.

a = 2.732 Å, b = 4.385 Å, c = 4.886 Å
α = 90.00°, β = 90.00°, γ = 90.00°
Atoms (fractional coordinates):
Si  0.500  0.000  0.524
Ag  0.500  0.500  0.234
Li  0.000  0.000  0.027
Li  0.000  0.500  0.715

Output
Magnetic moment in μB/atom: 0.000
Energy relative to the elements, uncorrected in eV per atom: -0.148
V in A^3/atom: 14.63



Computed, not measured: a crystal of Sb2Ru2N relaxed with PBEsol at the meta-GGA SCAN level of DFT.

a = 4.955 Å, b = 4.955 Å, c = 4.955 Å
α = 100.06°, β = 114.37°, γ = 114.37°
Atoms (fractional coordinates):
Sb  0.500  0.750  0.250
Sb  0.500  0.250  0.750
N  0.000  0.000  0.000
Ru  0.000  0.725  0.725
Ru  0.000  0.275  0.275

Output
Magnetic moment in μB/atom: 0.000
Energy relative to the elements, uncorrected in eV per atom: 0.372
V in A^3/atom: 18.36



Computed, not measured: a crystal of NaTi2Ga5O12 relaxed with PBEsol at the meta-GGA SCAN level of DFT.

a = 2.996 Å, b = 9.373 Å, c = 15.681 Å
α = 90.00°, β = 90.00°, γ = 90.00°
Atoms (fractional coordinates):
Na  0.500  0.500  0.000
Na  0.500  0.000  0.500
Ti  0.500  0.729  0.357
Ti  0.500  0.271  0.643
Ti  0.500  0.771  0.857
Ti  0.500  0.229  0.143
Ga  0.000  0.000  0.000
Ga  0.000  0.492  0.801
Ga  0.000  0.008  0.301
Ga  0.000  0.508  0.199
Ga  0.500  0.196  0.853
Ga  0.500  0.804  0.147
Ga  0.000  0.992  0.699
Ga  0.500  0.696  0.647
Ga  0.500  0.304  0.353
Ga  0.000  0.500  0.500
O  0.500  0.395  0.555
O  0.000  0.139  0.909
O  0.500  0.107  0.358
O  0.000  0.357  0.706
O  0.500  0.393  0.858
O  0.500  0.607  0.142
O  0.500  0.105  0.055
O  0.000  0.861  0.091
O  0.000  0.639  0.591
O  0.000  0.857  0.794
O  0.000  0.143  0.206
O  0.000  0.144  0.604
O  0.500  0.613  0.755
O  0.000  0.856  0.396
O  0.000  0.643  0.294
O  0.000  0.644  0.896
O  0.500  0.895  0.945
O  0.500  0.113  0.745
O  0.500  0.605  0.445
O  0.500  0.887  0.255
O  0.000  0.361  0.409
O  0.500  0.387  0.245
O  0.000  0.356  0.104
O  0.500  0.893  0.642

Output
Magnetic moment in μB/atom: 0.000
Energy relative to the elements, uncorrected in eV per atom: -2.453
V in A^3/atom: 11.01



Computed, not measured: a crystal of CsZnSn2Hg relaxed with PBEsol at the meta-GGA SCAN level of DFT.

a = 5.036 Å, b = 5.744 Å, c = 5.744 Å
α = 90.00°, β = 90.00°, γ = 90.00°
Atoms (fractional coordinates):
Cs  0.500  0.500  0.500
Zn  0.500  0.000  0.000
Hg  0.000  0.000  0.000
Sn  0.000  0.000  0.500
Sn  0.000  0.500  0.000

Output
Formation enthalpy at 0 K in meV per atom: 295
Magnetic moment in μB/atom: 0.000
V in A^3/atom: 33.24



Computed, not measured: a crystal of LaBSb2Te relaxed with PBEsol at the meta-GGA SCAN level of DFT.

a = 5.973 Å, b = 5.956 Å, c = 5.956 Å
α = 90.00°, β = 90.00°, γ = 90.00°
Last column: magnetic moment on the atom in μB.
Atoms (fractional coordinates):
Sb  0.000  0.000  0.500  -0.11
Sb  0.000  0.500  0.000  -0.11
B  0.500  0.500  0.500  0.05
Te  0.500  0.000  0.000  -0.08
La  0.000  0.000  0.000  -0.02

Output
Magnetic moment in μB/atom: 0.109
Energy relative to the elements, uncorrected in eV per atom: 1.335
V in A^3/atom: 42.38
Distance to the lowest polymorph of the same formula in meV/atom: 1312



Computed, not measured: a crystal of MgMn2MoPd relaxed with PBEsol at the meta-GGA SCAN level of DFT.

a = 4.614 Å, b = 4.729 Å, c = 4.729 Å
α = 90.00°, β = 90.00°, γ = 90.00°
Last column: magnetic moment on the atom in μB.
Atoms (fractional coordinates):
Mo  0.500  0.500  0.500  -3.64
Mn  0.000  0.000  0.500  4.31
Mn  0.000  0.500  0.000  4.31
Mg  0.500  0.000  0.000  0.00
Pd  0.000  0.000  0.000  0.23

Output
Formation enthalpy at 0 K in meV per atom: 691
Magnetic moment in μB/atom: 1.017
V in A^3/atom: 20.64



Computed, not measured: a crystal of ZnCdCu2 relaxed with PBEsol at the meta-GGA SCAN level of DFT.

a = 2.943 Å, b = 2.943 Å, c = 6.472 Å
α = 90.00°, β = 90.00°, γ = 90.00°
Atoms (fractional coordinates):
Zn  0.000  0.000  0.456
Cu  0.000  0.000  0.038
Cu  0.500  0.500  0.242
Cd  0.500  0.500  0.765

Output
Formation enthalpy at 0 K in meV per atom: 21
Magnetic moment in μB/atom: 0.000
V in A^3/atom: 14.02



Computed, not measured: a crystal of KTl2Cd relaxed with PBEsol at the meta-GGA SCAN level of DFT.

a = 3.694 Å, b = 3.694 Å, c = 8.485 Å
α = 90.00°, β = 90.00°, γ = 90.00°
Atoms (fractional coordinates):
Tl  0.000  0.000  0.795
Tl  0.000  0.000  0.205
K  0.500  0.500  0.500
Cd  0.500  0.500  0.000

Output
Formation enthalpy at 0 K in meV per atom: -119
Magnetic moment in μB/atom: 0.000
V in A^3/atom: 28.94



Computed, not measured: a crystal of BaTcRh relaxed with PBEsol at the meta-GGA SCAN level of DFT.

a = 3.310 Å, b = 3.310 Å, c = 6.428 Å
α = 104.95°, β = 104.95°, γ = 89.88°
Atoms (fractional coordinates):
Ba  0.000  0.000  0.999
Rh  0.287  0.287  0.575
Tc  0.713  0.713  0.426

Output
Formation enthalpy at 0 K in meV per atom: 503
Magnetic moment in μB/atom: 0.000
V in A^3/atom: 21.86



Computed, not measured: a crystal of Li2CuN relaxed with PBEsol at the meta-GGA SCAN level of DFT.

a = 4.931 Å, b = 5.090 Å, c = 6.922 Å
α = 90.00°, β = 90.00°, γ = 90.00°
Atoms (fractional coordinates):
Li  0.750  0.000  0.380
Li  0.250  0.500  0.620
Li  0.750  0.500  0.380
Li  0.250  0.000  0.620
Li  0.138  0.750  0.934
Li  0.862  0.250  0.066
Li  0.362  0.250  0.934
Li  0.638  0.750  0.066
Cu  0.250  0.500  0.247
Cu  0.750  0.000  0.753
Cu  0.250  0.000  0.247
Cu  0.750  0.500  0.753
N  0.522  0.250  0.231
N  0.478  0.750  0.769
N  0.978  0.750  0.231
N  0.022  0.250  0.769

Output
Magnetic moment in μB/atom: 0.000
Energy relative to the elements, uncorrected in eV per atom: -0.360
V in A^3/atom: 10.86



Computed, not measured: a crystal of NaLa2Tl2 relaxed with PBEsol at the meta-GGA SCAN level of DFT.

a = 3.667 Å, b = 9.237 Å, c = 9.237 Å
α = 90.00°, β = 90.00°, γ = 90.00°
Last column: magnetic moment on the atom in μB.
Atoms (fractional coordinates):
Na  0.000  0.000  0.000  0.00
Na  0.000  0.500  0.500  0.00
Tl  0.000  0.376  0.876  0.01
Tl  0.000  0.876  0.624  0.01
Tl  0.000  0.624  0.124  0.01
Tl  0.000  0.124  0.376  0.01
La  0.500  0.173  0.673  0.18
La  0.500  0.673  0.827  0.18
La  0.500  0.827  0.327  0.18
La  0.500  0.327  0.173  0.18

Output
Formation enthalpy at 0 K in meV per atom: -447
Magnetic moment in μB/atom: 0.170
V in A^3/atom: 31.28



Computed, not measured: a crystal of RuPtBr2 relaxed with PBEsol at the meta-GGA SCAN level of DFT.

a = 3.808 Å, b = 4.813 Å, c = 4.813 Å
α = 117.26°, β = 90.00°, γ = 90.00°
Atoms (fractional coordinates):
Ru  0.500  0.266  0.734
Br  0.000  0.061  0.939
Br  0.500  0.705  0.295
Pt  0.000  0.467  0.533

Output
Magnetic moment in μB/atom: 0.000
Energy relative to the elements, uncorrected in eV per atom: 0.374
V in A^3/atom: 19.60
Distance to the lowest polymorph of the same formula in meV/atom: 0



Computed, not measured: a crystal of OsRh2 relaxed with PBEsol at the meta-GGA SCAN level of DFT.

a = 3.780 Å, b = 3.808 Å, c = 5.985 Å
α = 71.45°, β = 90.00°, γ = 90.00°
Atoms (fractional coordinates):
Os  0.250  0.918  0.164
Os  0.750  0.082  0.836
Rh  0.250  0.579  0.841
Rh  0.750  0.421  0.159
Rh  0.250  0.253  0.493
Rh  0.750  0.747  0.507

Output
Formation enthalpy at 0 K in meV per atom: 55
Magnetic moment in μB/atom: 0.000
V in A^3/atom: 13.61
Distance to the lowest polymorph of the same formula in meV/atom: 38



Computed, not measured: a crystal of CrIn2Pb relaxed with PBEsol at the meta-GGA SCAN level of DFT.

a = 4.309 Å, b = 4.384 Å, c = 4.810 Å
α = 90.00°, β = 90.00°, γ = 90.00°
Last column: magnetic moment on the atom in μB.
Atoms (fractional coordinates):
Cr  0.000  0.500  0.500  3.99
In  0.000  0.000  0.000  -0.04
In  0.500  0.500  0.000  -0.04
Pb  0.500  0.000  0.500  -0.05

Output
Formation enthalpy at 0 K in meV per atom: 182
Magnetic moment in μB/atom: 1.042
V in A^3/atom: 22.71



Computed, not measured: a crystal of BaTi2AgO relaxed with PBEsol at the meta-GGA SCAN level of DFT.

a = 4.501 Å, b = 5.099 Å, c = 5.099 Å
α = 90.00°, β = 90.00°, γ = 90.00°
Last column: magnetic moment on the atom in μB.
Atoms (fractional coordinates):
O  0.500  0.000  0.000  0.01
Ba  0.500  0.500  0.500  0.27
Ag  0.000  0.000  0.000  0.12
Ti  0.000  0.000  0.500  1.85
Ti  0.000  0.500  0.000  1.85

Output
Magnetic moment in μB/atom: 1.107
Energy relative to the elements, uncorrected in eV per atom: 0.661
V in A^3/atom: 23.40



Computed, not measured: a crystal of YSc2Be relaxed with PBEsol at the meta-GGA SCAN level of DFT.

a = 3.212 Å, b = 3.212 Å, c = 8.228 Å
α = 90.00°, β = 90.00°, γ = 90.00°
Atoms (fractional coordinates):
Y  0.500  0.500  0.000
Sc  0.000  0.000  0.685
Sc  0.000  0.000  0.315
Be  0.500  0.500  0.500

Output
Formation enthalpy at 0 K in meV per atom: 28
Magnetic moment in μB/atom: 0.001
V in A^3/atom: 21.23